A relaxed SrAlCr2 crystal, computed with GGA-PBE.

abc: 2.733 2.733 9.143
angles: 90.00 90.00 90.00
Space group P4/mmm (No. 123)
Symmetry-distinct sites (fractional):
Sr 0.000 0.000 0.000 [1 per cell]
Al 0.000 0.000 0.500 [1 per cell]
Cr 0.500 0.500 0.299 [2 per cell]

Output
formation enthalpy at 0 K: 888 meV per atom
total moment: 0.37 μB/cell